! GGA-PBEsol KRe2Mo, relaxed; values from VASP
! Formation enthalpy at 0 K (eV per atom): 2.0000
! Polymorph energy (0 for the lowest one) (eV per atom): 1.201
&SYSTEM
  ibrav = 0, nat = 4, ntyp = 3
/
ATOMIC_SPECIES
K 39.10 K.upf
Re 186.21 Re.upf
Mo 95.94 Mo.upf
ATOMIC_POSITIONS crystal
K 0.000 0.000 0.000
Re 0.000 0.500 0.500
Re 0.500 0.000 0.500
Mo 0.500 0.500 0.000
CELL_PARAMETERS angstrom
3.720 0.000 0.000
0.000 3.720 0.000
0.000 0.000 4.843